--- i ---
DFT (PBE) results for crystalline Ba2CdCl at its relaxed geometry.

Cell lengths 4.3142, 4.1733, 9.1342 Å; angles 90.00, 90.05, 90.00 degrees
Last column: nearest neighbours and their distance in Å.
Element x y z (fractional)
Ba 0.0011 0.0000 0.2309  2 Cl 3.22
Ba 0.9989 0.0000 0.7691  2 Cl 3.22
Cd 0.5000 0.5000 0.0000  8 Ba 3.67
Cl 0.0000 0.5000 0.5000  4 Ba 3.22

=====

--- ii ---
DFT (PBE) results for crystalline Ba2CdCl at its relaxed geometry.

Cell lengths 4.8415, 6.9847, 4.8497 Å; angles 90.00, 90.00, 90.00 degrees
Last column: nearest neighbours and their distance in Å.
Element x y z (fractional)
Ba 0.0000 0.0000 0.0000  4 Cl 3.42-3.43, 2 Cd 3.49
Ba 0.5000 0.5000 0.5003  4 Cd 3.43, 2 Cl 3.49
Cd 0.0000 0.5000 0.0001  6 Ba 3.43-3.49
Cl 0.5000 0.0000 0.5016  6 Ba 3.42-3.49

=====

--- iii ---
DFT (PBE) results for crystalline Ba2CdCl at its relaxed geometry.

Cell lengths 9.4476, 9.4476, 9.4476 Å; angles 27.86, 27.86, 27.86 degrees
Last column: nearest neighbours and their distance in Å.
Element x y z (fractional)
Ba 0.0000 0.0000 0.0000  3 Cl 3.43, 3 Cd 3.48
Ba 0.1649 0.1649 0.1649  3 Cl 3.48, 3 Cd 3.49
Cd 0.5829 0.5829 0.5829  6 Ba 3.48-3.49
Cl 0.4142 0.4142 0.4142  6 Ba 3.43-3.48

=====

--- iv ---
DFT (PBE) results for crystalline Ba2CdCl at its relaxed geometry.

Cell lengths 8.1299, 8.1299, 8.1299 Å; angles 146.08, 146.08, 48.73 degrees
Last column: nearest neighbours and their distance in Å.
Element x y z (fractional)
Ba 0.0000 0.0000 0.0000  4 Cl 3.35
Ba 0.7500 0.2500 0.5000  4 Cd 3.35
Cd 0.2500 0.7500 0.5000  4 Ba 3.35
Cl 0.5000 0.5000 0.0000  4 Ba 3.35

=====

The structure with the most favorable energy is i; the runner-up is 3.0 kJ/mol of atoms above it.

=====

--- i ---
DFT (PBE) results for crystalline Ba2CdCl at its relaxed geometry.

Cell lengths 7.7647, 7.7647, 7.7647 Å; angles 112.09, 112.09, 104.35 degrees
Last column: nearest neighbours and their distance in Å.
Element x y z (fractional)
Ba 0.0959 0.6250 0.9709  2 Cl 3.13, 2 Cd 3.46
Ba 0.3750 0.3459 0.4709  2 Cl 3.13, 2 Cd 3.46
Ba 0.6541 0.1250 0.0291  2 Cl 3.13, 2 Cd 3.46
Ba 0.8750 0.9041 0.5291  2 Cl 3.13, 2 Cd 3.46
Cd 0.2500 0.7500 0.5000  4 Ba 3.46
Cd 0.5000 0.5000 0.0000  4 Ba 3.46
Cl 0.0000 0.0000 0.0000  4 Ba 3.13
Cl 0.7500 0.2500 0.5000  4 Ba 3.13

=====

--- ii ---
DFT (PBE) results for crystalline Ba2CdCl at its relaxed geometry.

Cell lengths 8.8423, 8.8423, 8.8423 Å; angles 30.86, 30.86, 30.86 degrees
Last column: nearest neighbours and their distance in Å.
Element x y z (fractional)
Ba 0.2455 0.2455 0.2455  3 Cl 3.37, 3 Cd 3.51
Ba 0.7545 0.7545 0.7545  3 Cl 3.37, 3 Cd 3.51
Cd 0.0000 0.0000 0.0000  6 Ba 3.51
Cl 0.5000 0.5000 0.5000  6 Ba 3.37

=====

The structure with the most favorable energy is ii; the runner-up is 10.1 kJ/mol of atoms above it.

=====

--- i ---
DFT (PBE) results for crystalline BaCd3Cl at its relaxed geometry.

Cell lengths 5.7792, 5.7792, 5.7792 Å; angles 90.00, 90.00, 90.00 degrees
Last column: nearest neighbours and their distance in Å.
Element x y z (fractional)
Ba 0.0000 0.0000 0.0000  12 Cd 4.09
Cd 0.0000 0.5000 0.5000  2 Cl 2.89
Cd 0.5000 0.0000 0.5000  2 Cl 2.89
Cd 0.5000 0.5000 0.0000  2 Cl 2.89
Cl 0.5000 0.5000 0.5000  6 Cd 2.89

=====

--- ii ---
DFT (PBE) results for crystalline BaCd3Cl at its relaxed geometry.

Cell lengths 6.9133, 6.9133, 6.9133 Å; angles 90.00, 90.00, 90.00 degrees
Last column: nearest neighbours and their distance in Å.
Element x y z (fractional)
Ba 0.0000 0.0000 0.0000  6 Cd 3.46
Cd 0.0000 0.0000 0.5000  2 Ba 3.46
Cd 0.0000 0.5000 0.0000  2 Ba 3.46
Cd 0.5000 0.0000 0.0000  2 Ba 3.46
Cl 0.5000 0.5000 0.5000  12 Cd 4.89

=====

The structure with the most favorable energy is i; the runner-up is 30.8 kJ/mol of atoms above it.

=====

--- i ---
DFT (PBE) results for crystalline BaCdPCl2 at its relaxed geometry.

Cell lengths 5.9278, 5.9278, 6.6645 Å; angles 90.00, 90.00, 90.00 degrees
Last column: nearest neighbours and their distance in Å.
Element x y z (fractional)
Ba 0.0000 0.0000 0.0000  4 Cl 2.96
Cd 0.5000 0.5000 0.5000  4 P 4.19, 8 Cl 4.46
P 0.0000 0.0000 0.5000  2 Ba 3.33
Cl 0.0000 0.5000 0.0000  2 Ba 2.96
Cl 0.5000 0.0000 0.0000  2 Ba 2.96

=====

--- ii ---
DFT (PBE) results for crystalline BaCdPCl2 at its relaxed geometry.

Cell lengths 5.3469, 5.3469, 5.1143 Å; angles 90.00, 90.00, 90.00 degrees
Last column: nearest neighbours and their distance in Å.
Element x y z (fractional)
Ba 0.0000 0.0000 0.0000  8 Cl 3.70, 4 P 3.78
Cd 0.5000 0.5000 0.5000  2 P 2.56, 4 Cl 2.67
P 0.5000 0.5000 0.0000  2 Cd 2.56
Cl 0.0000 0.5000 0.5000  2 Cd 2.67
Cl 0.5000 0.0000 0.5000  2 Cd 2.67

=====

The structure with the most favorable energy is ii; the runner-up is 39.9 kJ/mol of atoms above it.